Record 1
Hg2GeAu2 | PBE-GGA | optimized geometry

Results
theoretical density	12.81	g cm⁻³
DFT total energy	-0.0777	Ha/atom
energy relative to the elements	0.24	eV/atom
energy above the most stable polymorph in this dataset	181	meV per atom

Unit cell a=3.9960 b=3.9960 c=7.5895 alpha=74.74 beta=74.74 gamma=90.00
Closest atoms and distances in Å follow each position.
Fractional coordinates of all 5 atoms:
Ge (0.0000, 0.0000, 0.0000)  8 Au 3.12
Hg (0.2500, 0.7500, 0.5000)  4 Hg 2.83, 4 Au 2.97
Hg (0.7500, 0.2500, 0.5000)  4 Hg 2.83, 4 Au 2.97
Au (0.4056, 0.4056, 0.1889)  1 Au 2.66, 4 Hg 2.97
Au (0.5944, 0.5944, 0.8111)  1 Au 2.66, 4 Hg 2.97


Record 2
HgGeAu4 | PBE-GGA | optimized geometry

Results
theoretical density	14.89	g cm⁻³
DFT total energy	-0.1084	Ha/atom
energy relative to the elements	0.05	eV/atom
energy above the most stable polymorph in this dataset	4	meV per atom

Unit cell a=3.0353 b=5.9538 c=13.1890 alpha=90.00 beta=96.90 gamma=90.00
Closest atoms and distances in Å follow each position.
Fractional coordinates of all 12 atoms:
Ge (0.0484, 0.2500, 0.5792)  4 Au 2.61-2.62
Ge (0.9516, 0.7500, 0.4208)  4 Au 2.61-2.62
Au (0.8792, 0.0072, 0.2589)  1 Ge 2.62, 3 Au 2.89-2.92
Au (0.1208, 0.5072, 0.7411)  1 Ge 2.62, 3 Au 2.89-2.92
Au (0.5378, 0.7500, 0.5834)  2 Ge 2.61-2.62
Au (0.4622, 0.2500, 0.4166)  2 Ge 2.61-2.62
Au (0.6993, 0.2500, 0.8917)  4 Hg 2.91-3.00, 6 Au 2.92-3.04
Au (0.3007, 0.7500, 0.1083)  4 Hg 2.91-3.00, 6 Au 2.92-3.04
Au (0.1208, 0.9928, 0.7411)  1 Ge 2.62, 3 Au 2.89-2.92
Au (0.8792, 0.4928, 0.2589)  1 Ge 2.62, 3 Au 2.89-2.92
Hg (0.7057, 0.7500, 0.9180)  8 Au 2.91-3.14, 2 Hg 3.04
Hg (0.2943, 0.2500, 0.0820)  8 Au 2.91-3.14, 2 Hg 3.04


Record 3
HgGe2Au5 | PBE-GGA | optimized geometry

Results
theoretical density	14.04	g cm⁻³
DFT total energy	-0.1163	Ha/atom
energy relative to the elements	0.08	eV/atom

Unit cell a=2.8817 b=8.7102 c=8.7102 alpha=47.05 beta=80.48 gamma=80.48
Closest atoms and distances in Å follow each position.
Fractional coordinates of all 8 atoms:
Hg (0.0000, 0.0000, 0.0000)  2 Hg 2.88, 8 Au 3.15
Au (0.6290, 0.5930, 0.1490)  3 Ge 2.63-2.92, 4 Au 2.88-2.93
Au (0.6290, 0.1490, 0.5930)  3 Ge 2.63-2.92, 4 Au 2.88-2.93
Au (0.0000, 0.5000, 0.5000)  10 Au 2.88-2.93
Au (0.3710, 0.8510, 0.4070)  3 Ge 2.63-2.92, 4 Au 2.88-2.93
Au (0.3710, 0.4070, 0.8510)  3 Ge 2.63-2.92, 4 Au 2.88-2.93
Ge (0.2571, 0.2429, 0.2429)  6 Au 2.63-2.92, 2 Ge 2.88
Ge (0.7429, 0.7571, 0.7571)  6 Au 2.63-2.92, 2 Ge 2.88


Record 4
HgGe5Au8 | PBE-GGA | optimized geometry

Results
theoretical density	12.16	g cm⁻³
DFT total energy	-0.1280	Ha/atom
energy relative to the elements	0.06	eV/atom

Unit cell a=4.4052 b=9.8403 c=9.1414 alpha=108.76 beta=128.86 gamma=78.79
Closest atoms and distances in Å follow each position.
Fractional coordinates of all 14 atoms:
Au (0.2847, 0.8606, 0.7565)  4 Ge 2.58-2.71, 1 Au 2.85
Au (0.1134, 0.4558, 0.2690)  2 Ge 2.61-2.71, 1 Hg 2.85, 3 Au 2.87-2.90
Au (0.9465, 0.4845, 0.5479)  3 Ge 2.62-2.94, 3 Au 2.77-2.91
Au (0.7732, 0.2279, 0.9120)  5 Ge 2.54-2.80
Au (0.4660, 0.7394, 0.4778)  3 Ge 2.65-2.70, 4 Au 2.87-2.96
Au (0.9683, 0.8399, 0.1321)  3 Ge 2.62-2.80, 2 Au 2.85-2.87
Au (0.8058, 0.1227, 0.3500)  4 Ge 2.57-2.71
Au (0.5136, 0.2927, 0.5663)  1 Ge 2.57, 2 Au 2.77-2.86
Ge (0.5327, 0.3047, 0.1461)  5 Au 2.57-2.79
Ge (0.7840, 0.8614, 0.3759)  6 Au 2.67-2.80
Ge (0.0962, 0.1238, 0.7140)  5 Au 2.54-2.80
Ge (0.1761, 0.9876, 0.0149)  4 Au 2.58-2.71
Ge (0.6174, 0.6052, 0.7262)  5 Au 2.62-2.94, 1 Hg 2.80
Hg (0.4221, 0.5937, 0.0114)  1 Ge 2.80, 1 Au 2.85


Record 5
HgGe2Au6 | PBE-GGA | optimized geometry

Results
theoretical density	14.61	g cm⁻³
DFT total energy	-0.1172	Ha/atom
energy relative to the elements	0.06	eV/atom

Unit cell a=3.1108 b=7.4464 c=7.9052 alpha=76.19 beta=90.00 gamma=102.06
Closest atoms and distances in Å follow each position.
Fractional coordinates of all 9 atoms:
Au (0.3826, 0.7653, 0.8989)  3 Ge 2.67-2.78, 4 Au 2.94-2.96
Au (0.6174, 0.2347, 0.1011)  3 Ge 2.67-2.78, 4 Au 2.94-2.96
Au (0.6638, 0.3276, 0.5269)  3 Ge 2.78-2.95, 6 Au 2.90-3.11, 2 Hg 2.90
Au (0.3362, 0.6724, 0.4731)  3 Ge 2.78-2.95, 6 Au 2.90-3.11, 2 Hg 2.90
Au (0.9390, 0.8779, 0.1723)  9 Au 2.87-3.11, 1 Hg 2.94
Au (0.0610, 0.1221, 0.8277)  9 Au 2.87-3.11, 1 Hg 2.94
Hg (0.0000, 0.0000, 0.5000)  6 Au 2.90-2.94, 2 Hg 3.11
Ge (0.7586, 0.5171, 0.7924)  6 Au 2.67-2.95
Ge (0.2414, 0.4829, 0.2076)  6 Au 2.67-2.95


Record 6
Hg3GeAu4 | PBE-GGA | optimized geometry

Results
theoretical density	12.75	g cm⁻³
DFT total energy	-0.0834	Ha/atom
energy relative to the elements	0.06	eV/atom

Unit cell a=5.6385 b=7.7648 c=6.7148 alpha=134.66 beta=98.00 gamma=100.27
Closest atoms and distances in Å follow each position.
Fractional coordinates of all 8 atoms:
Hg (0.1515, 0.7969, 0.3538)  1 Ge 2.67, 3 Au 2.93-2.95
Hg (0.9852, 0.1179, 0.9529)  4 Au 2.83-3.17
Hg (0.9661, 0.2702, 0.5494)  3 Au 2.79-3.02
Au (0.4935, 0.6311, 0.5039)  1 Ge 2.58, 3 Au 2.82-2.84
Au (0.4549, 0.7675, 0.0141)  1 Ge 2.61, 4 Au 2.81-2.86
Au (0.4958, 0.1301, 0.0032)  1 Ge 2.61, 3 Au 2.82-2.84, 2 Hg 2.83-2.84
Au (0.4661, 0.2618, 0.5309)  1 Ge 2.60, 2 Hg 2.79-2.85, 2 Au 2.81-2.86
Ge (0.6380, 0.5245, 0.0918)  4 Au 2.58-2.61, 1 Hg 2.67


Record 7
HgGeAu | PBE-GGA | optimized geometry

Results
theoretical density	11.29	g cm⁻³
DFT total energy	-0.0963	Ha/atom
energy relative to the elements	0.11	eV/atom
energy above the most stable polymorph in this dataset	13	meV per atom

Unit cell a=4.6071 b=4.6071 c=4.6071 alpha=60.00 beta=60.00 gamma=60.00
Closest atoms and distances in Å follow each position.
Fractional coordinates of all 3 atoms:
Hg (0.0000, 0.0000, 0.0000)  4 Au 2.82
Au (0.2500, 0.2500, 0.2500)  4 Hg 2.82, 4 Ge 2.82
Ge (0.5000, 0.5000, 0.5000)  4 Au 2.82


Record 8
HgGeAu2 | PBE-GGA | optimized geometry

Results
theoretical density	13.34	g cm⁻³
DFT total energy	-0.1031	Ha/atom
energy relative to the elements	0.06	eV/atom
energy above the most stable polymorph in this dataset	51	meV per atom

Unit cell a=3.4695 b=3.4695 c=8.2131 alpha=77.81 beta=77.81 gamma=60.00
Closest atoms and distances in Å follow each position.
Fractional coordinates of all 4 atoms:
Ge (0.6672, 0.6672, 0.9985)  6 Au 2.69-2.71
Au (0.2574, 0.2574, 0.2277)  3 Ge 2.71, 3 Hg 2.96
Au (0.0757, 0.0757, 0.7728)  3 Ge 2.69, 3 Hg 2.95
Hg (0.4996, 0.4996, 0.5011)  6 Au 2.95-2.96


Record 9
Hg2GeAu2 | PBE-GGA | optimized geometry

Results
theoretical density	13.40	g cm⁻³
DFT total energy	-0.0785	Ha/atom
energy relative to the elements	0.22	eV/atom
energy above the most stable polymorph in this dataset	161	meV per atom

Unit cell a=8.4510 b=8.4510 c=3.0116 alpha=90.00 beta=90.00 gamma=90.00
Closest atoms and distances in Å follow each position.
Fractional coordinates of all 10 atoms:
Hg (0.8664, 0.6336, 0.0000)  6 Au 2.83-2.96, 2 Hg 3.01
Hg (0.6336, 0.1336, 0.0000)  6 Au 2.83-2.96, 2 Hg 3.01
Hg (0.3664, 0.8664, 0.0000)  6 Au 2.83-2.96, 2 Hg 3.01
Hg (0.1336, 0.3664, 0.0000)  6 Au 2.83-2.96, 2 Hg 3.01
Ge (0.5000, 0.5000, 0.0000)  2 Ge 3.01, 4 Hg 3.30
Ge (0.0000, 0.0000, 0.0000)  2 Ge 3.01, 4 Hg 3.30
Au (0.8340, 0.3340, 0.5000)  6 Hg 2.83-2.96, 2 Au 3.01
Au (0.1660, 0.6660, 0.5000)  6 Hg 2.83-2.96, 2 Au 3.01
Au (0.3340, 0.1660, 0.5000)  6 Hg 2.83-2.96, 2 Au 3.01
Au (0.6660, 0.8340, 0.5000)  6 Hg 2.83-2.96, 2 Au 3.01


Record 10
Hg2GeAu2 | PBE-GGA | optimized geometry

Results
theoretical density	13.27	g cm⁻³
DFT total energy	-0.0801	Ha/atom
energy relative to the elements	0.18	eV/atom
energy above the most stable polymorph in this dataset	116	meV per atom

Unit cell a=7.1484 b=7.1484 c=4.2494 alpha=90.00 beta=90.00 gamma=90.00
Closest atoms and distances in Å follow each position.
Fractional coordinates of all 10 atoms:
Ge (0.0000, 0.0000, 0.0000)  4 Au 2.74
Ge (0.5000, 0.5000, 0.0000)  4 Au 2.74
Hg (0.8413, 0.3413, 0.5000)  6 Au 2.90-3.04, 1 Hg 3.21
Hg (0.6587, 0.8413, 0.5000)  6 Au 2.90-3.04, 1 Hg 3.21
Hg (0.3413, 0.1587, 0.5000)  6 Au 2.90-3.04, 1 Hg 3.21
Hg (0.1587, 0.6587, 0.5000)  6 Au 2.90-3.04, 1 Hg 3.21
Au (0.1455, 0.3545, 0.0000)  2 Ge 2.74, 6 Hg 2.90-3.04, 1 Au 2.94
Au (0.3545, 0.8545, 0.0000)  2 Ge 2.74, 6 Hg 2.90-3.04, 1 Au 2.94
Au (0.6455, 0.1455, 0.0000)  2 Ge 2.74, 6 Hg 2.90-3.04, 1 Au 2.94
Au (0.8545, 0.6455, 0.0000)  2 Ge 2.74, 6 Hg 2.90-3.04, 1 Au 2.94


Record 11
KHgGeAu2 | PBE-GGA | optimized geometry

Results
theoretical density	8.28	g cm⁻³
DFT total energy	-0.0965	Ha/atom
energy relative to the elements	-0.11	eV/atom

Unit cell a=5.1690 b=5.1690 c=5.3027 alpha=90.00 beta=90.00 gamma=90.00
Closest atoms and distances in Å follow each position.
Fractional coordinates of all 5 atoms:
K (0.5000, 0.5000, 0.5000)  4 Hg 3.66, 8 Au 3.70
Au (0.0000, 0.5000, 0.0000)  2 Ge 2.58
Au (0.5000, 0.0000, 0.0000)  2 Ge 2.58
Ge (0.0000, 0.0000, 0.0000)  4 Au 2.58, 2 Hg 2.65
Hg (0.0000, 0.0000, 0.5000)  2 Ge 2.65


Record 12
K2HgGeAu | PBE-GGA | optimized geometry

Results
theoretical density	4.31	g cm⁻³
DFT total energy	-0.0691	Ha/atom
energy relative to the elements	0.20	eV/atom
energy above the most stable polymorph in this dataset	326	meV per atom

Unit cell a=6.2643 b=5.3872 c=6.2643 alpha=90.00 beta=90.00 gamma=90.00
Closest atoms and distances in Å follow each position.
Fractional coordinates of all 5 atoms:
Hg (0.0000, 0.5000, 0.0000)  2 Au 2.69
Au (0.0000, 0.0000, 0.0000)  2 Hg 2.69
K (0.0000, 0.0000, 0.5000)  2 Au 3.13
K (0.5000, 0.0000, 0.0000)  2 Au 3.13
Ge (0.5000, 0.5000, 0.5000)  8 K 4.13, 4 Hg 4.43


Record 13
K2HgGeAu | PBE-GGA | optimized geometry

Results
theoretical density	4.55	g cm⁻³
DFT total energy	-0.0811	Ha/atom
energy relative to the elements	-0.13	eV/atom
energy above the most stable polymorph in this dataset	0	meV per atom

Unit cell a=6.4992 b=6.4992 c=4.7418 alpha=90.00 beta=90.00 gamma=90.00
Closest atoms and distances in Å follow each position.
Fractional coordinates of all 5 atoms:
Ge (0.0000, 0.0000, 0.5000)  2 Au 2.37
Au (0.0000, 0.0000, 0.0000)  2 Ge 2.37
Hg (0.5000, 0.5000, 0.5000)  8 K 4.02
K (0.5000, 0.0000, 0.0000)  2 Au 3.25
K (0.0000, 0.5000, 0.0000)  2 Au 3.25